# 1
# Li5MnCr3O8 SCAN PBEsol geometry
# Magnetization: 56.0 μB/cell
# Energy relative to the elements, uncorrected: -39.31 eV per formula unit
# Final energy: -698.1 eV per cell
# Energy above the most stable polymorph in this dataset: 0 meV/atom
# Calculated volume: 8.7 Å³/atom
# SG: P4_32_12 (96)
data_Li5MnCr3O8
_cell_length_a 8.6448
_cell_length_b 8.6448
_cell_length_c 7.9607
_cell_angle_alpha 90.00
_cell_angle_beta 90.00
_cell_angle_gamma 90.00
_space_group_name_H-M_alt 'P 1'
_space_group_IT_number 1
_space_group_name_Hall 'P 1'
loop_
_atom_site_label
_atom_site_type_symbol
_atom_site_fract_x
_atom_site_fract_y
_atom_site_fract_z
Li1 Li 0.0424 0.2020 0.4759
Li2 Li 0.1035 0.3533 0.2418
Li3 Li 0.1467 0.6035 0.9918
Li4 Li 0.1508 0.8492 0.7500
Li5 Li 0.2020 0.0424 0.5241
Li6 Li 0.2980 0.5424 0.2259
Li7 Li 0.3492 0.3492 0.0000
Li8 Li 0.3533 0.1035 0.7582
Li9 Li 0.3965 0.8533 0.5082
Li10 Li 0.4576 0.7020 0.2741
Li11 Li 0.5424 0.2980 0.7741
Li12 Li 0.6035 0.1467 0.0082
Li13 Li 0.6467 0.8965 0.2582
Li14 Li 0.6508 0.6508 0.5000
Li15 Li 0.7020 0.4576 0.7259
Li16 Li 0.7980 0.9576 0.0241
Li17 Li 0.8492 0.1508 0.2500
Li18 Li 0.8533 0.3965 0.4918
Li19 Li 0.8965 0.6467 0.7418
Li20 Li 0.9576 0.7980 0.9759
Mn1 Mn 0.1184 0.1184 0.0000
Mn2 Mn 0.3816 0.6184 0.7500
Mn3 Mn 0.6184 0.3816 0.2500
Mn4 Mn 0.8816 0.8816 0.5000
Cr1 Cr 0.1206 0.3740 0.7452
Cr2 Cr 0.1260 0.6206 0.4952
Cr3 Cr 0.1282 0.8718 0.2500
Cr4 Cr 0.3718 0.3718 0.5000
Cr5 Cr 0.3740 0.1206 0.2548
Cr6 Cr 0.3794 0.8740 0.0048
Cr7 Cr 0.6206 0.1260 0.5048
Cr8 Cr 0.6260 0.8794 0.7548
Cr9 Cr 0.6282 0.6282 0.0000
Cr10 Cr 0.8718 0.1282 0.7500
Cr11 Cr 0.8740 0.3794 0.9952
Cr12 Cr 0.8794 0.6260 0.2452
O1 O 0.1048 0.1404 0.7224
O2 O 0.1083 0.6382 0.2458
O3 O 0.1094 0.3716 0.9940
O4 O 0.1268 0.8476 0.4982
O5 O 0.1284 0.6094 0.7440
O6 O 0.1382 0.3917 0.4958
O7 O 0.1404 0.1048 0.2776
O8 O 0.1524 0.8732 0.0018
O9 O 0.3476 0.3732 0.7482
O10 O 0.3596 0.6048 0.4724
O11 O 0.3618 0.8917 0.2542
O12 O 0.3716 0.1094 0.0060
O13 O 0.3732 0.3476 0.2518
O14 O 0.3906 0.8716 0.7560
O15 O 0.3917 0.1382 0.5042
O16 O 0.3952 0.6404 0.0276
O17 O 0.6048 0.3596 0.5276
O18 O 0.6083 0.8618 0.0042
O19 O 0.6094 0.1284 0.2560
O20 O 0.6268 0.6524 0.7518
O21 O 0.6284 0.8906 0.5060
O22 O 0.6382 0.1083 0.7542
O23 O 0.6404 0.3952 0.9724
O24 O 0.6524 0.6268 0.2482
O25 O 0.8476 0.1268 0.5018
O26 O 0.8596 0.8952 0.7776
O27 O 0.8618 0.6083 0.9958
O28 O 0.8716 0.3906 0.2440
O29 O 0.8732 0.1524 0.9982
O30 O 0.8906 0.6284 0.4940
O31 O 0.8917 0.3618 0.7458
O32 O 0.8952 0.8596 0.2224

***

# 2
# LiMnCrO4 SCAN PBEsol geometry
# Magnetization: 12.0 μB/cell
# Energy relative to the elements, uncorrected: -16.88 eV per formula unit
# Final energy: -161.7 eV per cell
# Calculated volume: 9.7 Å³/atom
# SG: Imma (74)
data_LiMnCrO4
_cell_length_a 5.7676
_cell_length_b 5.7676
_cell_length_c 5.7676
_cell_angle_alpha 120.67
_cell_angle_beta 119.50
_cell_angle_gamma 89.86
_space_group_name_H-M_alt 'P 1'
_space_group_IT_number 1
_space_group_name_Hall 'P 1'
loop_
_atom_site_label
_atom_site_type_symbol
_atom_site_fract_x
_atom_site_fract_y
_atom_site_fract_z
Li1 Li 0.3717 0.1217 0.2500
Li2 Li 0.6283 0.8783 0.7500
Mn1 Mn 0.0000 0.0000 0.5000
Mn2 Mn 0.0000 0.5000 0.0000
Cr1 Cr 0.0000 0.5000 0.5000
Cr2 Cr 0.5000 0.5000 0.0000
O1 O 0.2111 0.7398 0.4713
O2 O 0.2324 0.2547 0.5223
O3 O 0.2315 0.2602 0.9713
O4 O 0.2324 0.7101 0.9777
O5 O 0.7676 0.2899 0.0223
O6 O 0.7685 0.7398 0.0287
O7 O 0.7676 0.7453 0.4777
O8 O 0.7889 0.2602 0.5287

***

# 3
# Li2Mn2CrO6 SCAN PBEsol geometry
# Magnetization: 20.0 μB/cell
# Energy relative to the elements, uncorrected: -25.08 eV per formula unit
# Final energy: -244.3 eV per cell
# Energy above the most stable polymorph in this dataset: 0 meV/atom
# Calculated volume: 10.2 Å³/atom
# SG: Aea2 (41)
data_Li2Mn2CrO6
_cell_length_a 10.0619
_cell_length_b 4.9999
_cell_length_c 4.9999
_cell_angle_alpha 62.81
_cell_angle_beta 90.00
_cell_angle_gamma 90.00
_space_group_name_H-M_alt 'P 1'
_space_group_IT_number 1
_space_group_name_Hall 'P 1'
loop_
_atom_site_label
_atom_site_type_symbol
_atom_site_fract_x
_atom_site_fract_y
_atom_site_fract_z
Li1 Li 0.2231 0.1937 0.8063
Li2 Li 0.2769 0.6937 0.3063
Li3 Li 0.7231 0.3063 0.6937
Li4 Li 0.7769 0.8063 0.1937
Mn1 Mn 0.0000 0.5038 0.5038
Mn2 Mn 0.0000 0.8352 0.8352
Mn3 Mn 0.5000 0.0038 0.0038
Mn4 Mn 0.5000 0.3352 0.3352
Cr1 Cr 0.0000 0.1706 0.1706
Cr2 Cr 0.5000 0.6706 0.6706
O1 O 0.0952 0.1666 0.5177
O2 O 0.0958 0.4994 0.8334
O3 O 0.1115 0.8744 0.1211
O4 O 0.3885 0.3744 0.6211
O5 O 0.4042 0.9994 0.3334
O6 O 0.4048 0.6666 0.0177
O7 O 0.5952 0.0177 0.6666
O8 O 0.5958 0.3334 0.9994
O9 O 0.6115 0.6211 0.3744
O10 O 0.8885 0.1211 0.8744
O11 O 0.9042 0.8334 0.4994
O12 O 0.9048 0.5177 0.1666

***

# 4
# Li2Mn2CrO6 SCAN PBEsol geometry
# Magnetization: 20.0 μB/cell
# Energy relative to the elements, uncorrected: -24.90 eV per formula unit
# Final energy: -243.9 eV per cell
# Energy above the most stable polymorph in this dataset: 16 meV/atom
# Calculated volume: 10.0 Å³/atom
# SG: C222_1 (20)
data_Li2Mn2CrO6
_cell_length_a 4.9922
_cell_length_b 4.9922
_cell_length_c 10.0110
_cell_angle_alpha 90.00
_cell_angle_beta 90.00
_cell_angle_gamma 118.01
_space_group_name_H-M_alt 'P 1'
_space_group_IT_number 1
_space_group_name_Hall 'P 1'
loop_
_atom_site_label
_atom_site_type_symbol
_atom_site_fract_x
_atom_site_fract_y
_atom_site_fract_z
Li1 Li 0.1218 0.1218 0.0000
Li2 Li 0.3677 0.3677 0.5000
Li3 Li 0.6323 0.6323 0.0000
Li4 Li 0.8782 0.8782 0.5000
Mn1 Mn 0.0820 0.9180 0.2500
Mn2 Mn 0.4089 0.5911 0.2500
Mn3 Mn 0.5911 0.4089 0.7500
Mn4 Mn 0.9180 0.0820 0.7500
Cr1 Cr 0.2508 0.7492 0.7500
Cr2 Cr 0.7492 0.2508 0.2500
O1 O 0.0530 0.2068 0.3616
O2 O 0.0794 0.5867 0.1543
O3 O 0.2068 0.0530 0.6384
O4 O 0.2572 0.4080 0.8505
O5 O 0.4080 0.2572 0.1495
O6 O 0.4133 0.9206 0.3457
O7 O 0.5867 0.0794 0.8457
O8 O 0.5920 0.7428 0.6495
O9 O 0.7428 0.5920 0.3505
O10 O 0.7932 0.9470 0.1384
O11 O 0.9206 0.4133 0.6543
O12 O 0.9470 0.7932 0.8616

***

# 5
# Li5MnCr3O8 SCAN PBEsol geometry
# Magnetization: 10.0 μB/cell
# Energy relative to the elements, uncorrected: -37.64 eV per formula unit
# Final energy: -172.9 eV per cell
# Fermi-level density of states: 2.8 states/eV/f.u.
# Energy above the most stable polymorph in this dataset: 98 meV/atom
# Calculated volume: 8.3 Å³/atom
# SG: R-3m (166)
data_Li5MnCr3O8
_cell_length_a 5.8167
_cell_length_b 5.8167
_cell_length_c 5.8167
_cell_angle_alpha 60.39
_cell_angle_beta 60.39
_cell_angle_gamma 60.39
_space_group_name_H-M_alt 'P 1'
_space_group_IT_number 1
_space_group_name_Hall 'P 1'
loop_
_atom_site_label
_atom_site_type_symbol
_atom_site_fract_x
_atom_site_fract_y
_atom_site_fract_z
Li1 Li 0.0000 0.0000 0.5000
Li2 Li 0.0000 0.5000 0.0000
Li3 Li 0.0693 0.0693 0.0693
Li4 Li 0.5000 0.0000 0.0000
Li5 Li 0.9307 0.9307 0.9307
Mn1 Mn 0.5000 0.5000 0.5000
Cr1 Cr 0.0000 0.5000 0.5000
Cr2 Cr 0.5000 0.0000 0.5000
Cr3 Cr 0.5000 0.5000 0.0000
O1 O 0.2562 0.2562 0.2562
O2 O 0.2597 0.2597 0.7275
O3 O 0.2597 0.7275 0.2597
O4 O 0.2725 0.7403 0.7403
O5 O 0.7275 0.2597 0.2597
O6 O 0.7403 0.2725 0.7403
O7 O 0.7403 0.7403 0.2725
O8 O 0.7438 0.7438 0.7438

***

# 6
# Li4Ti3Mn3Cr2O16 SCAN PBEsol geometry
# Magnetization: 13.0 μB/cell
# Energy relative to the elements, uncorrected: -73.71 eV per formula unit
# Final energy: -322.6 eV per cell
# Fermi-level density of states: 4.7 states/eV/f.u.
# Calculated volume: 9.5 Å³/atom
# SG: Cm (8)
data_Li4Ti3Mn3Cr2O16
_cell_length_a 5.6997
_cell_length_b 5.6997
_cell_length_c 9.4300
_cell_angle_alpha 90.32
_cell_angle_beta 90.32
_cell_angle_gamma 60.55
_space_group_name_H-M_alt 'P 1'
_space_group_IT_number 1
_space_group_name_Hall 'P 1'
loop_
_atom_site_label
_atom_site_type_symbol
_atom_site_fract_x
_atom_site_fract_y
_atom_site_fract_z
Li1 Li 0.0000 0.0000 0.0000
Li2 Li 0.0022 0.0022 0.4977
Li3 Li 0.3435 0.3435 0.5965
Li4 Li 0.6770 0.6770 0.1024
Ti1 Ti 0.1761 0.1761 0.2817
Ti2 Ti 0.3460 0.8403 0.7812
Ti3 Ti 0.8403 0.3460 0.7812
Mn1 Mn 0.1772 0.6663 0.2816
Mn2 Mn 0.6663 0.1772 0.2816
Mn3 Mn 0.8354 0.8354 0.7815
Cr1 Cr 0.3421 0.3421 0.0135
Cr2 Cr 0.6742 0.6742 0.5083
O1 O 0.0014 0.0014 0.1846
O2 O 0.0037 0.0037 0.6827
O3 O 0.0474 0.4906 0.1545
O4 O 0.1708 0.6759 0.8931
O5 O 0.1737 0.1737 0.8959
O6 O 0.3370 0.8414 0.3947
O7 O 0.3444 0.3444 0.3913
O8 O 0.4891 0.4891 0.1597
O9 O 0.4906 0.0474 0.1545
O10 O 0.5285 0.5285 0.6537
O11 O 0.5317 0.9706 0.6533
O12 O 0.6737 0.6737 0.8951
O13 O 0.6759 0.1708 0.8931
O14 O 0.8414 0.3370 0.3947
O15 O 0.8426 0.8426 0.3916
O16 O 0.9706 0.5317 0.6533

***

# 7
# Li4Ti2Mn3Cr3O16 SCAN PBEsol geometry
# Magnetization: 16.9 μB/cell
# Energy relative to the elements, uncorrected: -72.33 eV per formula unit
# Final energy: -323.6 eV per cell
# Fermi-level density of states: 2.4 states/eV/f.u.
# Calculated volume: 9.5 Å³/atom
# SG: Cm (8)
data_Li4Ti2Mn3Cr3O16
_cell_length_a 5.7463
_cell_length_b 5.7463
_cell_length_c 9.3190
_cell_angle_alpha 90.13
_cell_angle_beta 90.13
_cell_angle_gamma 59.78
_space_group_name_H-M_alt 'P 1'
_space_group_IT_number 1
_space_group_name_Hall 'P 1'
loop_
_atom_site_label
_atom_site_type_symbol
_atom_site_fract_x
_atom_site_fract_y
_atom_site_fract_z
Li1 Li 0.0000 0.0000 0.0000
Li2 Li 0.0019 0.0019 0.5005
Li3 Li 0.3294 0.3294 0.8992
Li4 Li 0.6621 0.6621 0.3995
Ti1 Ti 0.3355 0.3355 0.4958
Ti2 Ti 0.6667 0.6667 0.9977
Mn1 Mn 0.1684 0.1684 0.2197
Mn2 Mn 0.3395 0.8283 0.7188
Mn3 Mn 0.8283 0.3395 0.7188
Cr1 Cr 0.1666 0.6600 0.2187
Cr2 Cr 0.6600 0.1666 0.2187
Cr3 Cr 0.8294 0.8294 0.7184
O1 O 0.0010 0.0010 0.8126
O2 O 0.0018 0.0018 0.3135
O3 O 0.0349 0.4750 0.3414
O4 O 0.1648 0.1648 0.6044
O5 O 0.1688 0.6683 0.6013
O6 O 0.3273 0.3273 0.1105
O7 O 0.3307 0.8362 0.1023
O8 O 0.4750 0.0349 0.3414
O9 O 0.4777 0.4777 0.3443
O10 O 0.5131 0.9583 0.8400
O11 O 0.5163 0.5163 0.8400
O12 O 0.6630 0.6630 0.6111
O13 O 0.6683 0.1688 0.6013
O14 O 0.8317 0.8317 0.0983
O15 O 0.8362 0.3307 0.1023
O16 O 0.9583 0.5131 0.8400

***

# 8
# LiCrMo3 SCAN PBEsol geometry
# Magnetization: 0.0 μB/cell
# Formation energy from the elements: 612 kJ/mol of formula units
# Final energy: -119.1 eV per cell
# Fermi-level density of states: 4.0 states/eV/f.u.
# Calculated volume: 17.5 Å³/atom
# SG: Pm-3m (221)
data_LiCrMo3
_cell_length_a 4.4437
_cell_length_b 4.4437
_cell_length_c 4.4437
_cell_angle_alpha 90.00
_cell_angle_beta 90.00
_cell_angle_gamma 90.00
_space_group_name_H-M_alt 'P 1'
_space_group_IT_number 1
_space_group_name_Hall 'P 1'
loop_
_atom_site_label
_atom_site_type_symbol
_atom_site_fract_x
_atom_site_fract_y
_atom_site_fract_z
Li1 Li 0.0000 0.0000 0.0000
Cr1 Cr 0.5000 0.5000 0.5000
Mo1 Mo 0.0000 0.5000 0.5000
Mo2 Mo 0.5000 0.0000 0.5000
Mo3 Mo 0.5000 0.5000 0.0000